Record 1
La6NiI12: optimized geometry, GGA-PBE.

Its formation energy without anion corrections is -1152 meV/atom.

The space group is R-3m (No. 166, hexagonal axes) and the conventional cell measures 11.4068, 11.4068 and 19.7731 Å, with angles of 90.00, 90.00 and 120.00 degrees. The inequivalent atoms are La at (0.0605, 0.5302, 0.2542), Ni at (0.0000, 0.0000, 0.5000), I at (0.0261, 0.5131, 0.9038) and I at (0.0854, 0.5427, 0.5913).

Record 2
TaIrOs3: optimized geometry, GGA-PBE.

The calculation puts the energy above the most stable polymorph in this dataset at 0.0 kJ per mole of atoms. The formation energy from the elements comes out at 589 kJ/mol of formula units.

The space group is R-3m (No. 166, hexagonal axes) and the conventional cell measures 5.2919, 5.2919 and 12.6635 Å, with angles of 90.00, 90.00 and 120.00 degrees. The inequivalent atoms are Ta at (0.0000, 0.0000, 0.0000), Ir at (0.0000, 0.0000, 0.5000) and Os at (0.0000, 0.5000, 0.0000).

Record 3
ZnPtW: optimized geometry, GGA-PBE.

The calculation puts the energy above the most stable polymorph in this dataset at 0.0 kJ per mole of atoms. The formation energy from the elements comes out at -36 kJ/mol of formula units.

The space group is I4mm (No. 107) and the conventional cell measures 2.803, 2.803 and 11.600 Å, with angles of 90.00, 90.00 and 90.00 degrees. The inequivalent atoms are Zn at (0.000, 0.000, 0.000), Pt at (0.000, 0.000, 0.335) and W at (0.000, 0.000, 0.669).

Record 4
Ca2MnCu: optimized geometry, GGA-PBE.

The calculation puts the energy above the most stable polymorph in this dataset at 23.2 kJ per mole of atoms. The formation energy from the elements comes out at 156 kJ/mol of formula units.

The space group is F-43m (No. 216) and the conventional cell measures 7.108, 7.108 and 7.108 Å, with angles of 90.00, 90.00 and 90.00 degrees. The inequivalent atoms are Ca at (0.000, 0.000, 0.000), Ca at (0.250, 0.250, 0.250), Mn at (0.000, 0.000, 0.500) and Cu at (0.250, 0.250, 0.750).

Record 5
TmThInPb: optimized geometry, GGA-PBE.

The formation energy from the elements comes out at -98 kJ/mol of formula units.

The space group is F-43m (No. 216) and the conventional cell measures 7.698, 7.698 and 7.698 Å, with angles of 90.00, 90.00 and 90.00 degrees. The inequivalent atoms are Tm at (0.000, 0.000, 0.000), Th at (0.000, 0.000, 0.500), In at (0.250, 0.250, 0.750) and Pb at (0.250, 0.250, 0.250).

Record 6
RbNaF2: optimized geometry, GGA-PBE.

The calculation puts the energy above the most stable polymorph in this dataset at 20.7 kJ per mole of atoms. Its formation energy without anion corrections is -2442 meV/atom.

The space group is R-3m (No. 166, hexagonal axes) and the conventional cell measures 4.1578, 4.1578 and 21.6629 Å, with angles of 90.00, 90.00 and 120.00 degrees. The inequivalent atoms are Rb at (0.0000, 0.0000, 0.0000), Na at (0.0000, 0.0000, 0.5000) and F at (0.0000, 0.0000, 0.4051).

Record 7
CdPdCl4: optimized geometry, GGA-PBE.

The calculation puts the energy above the most stable polymorph in this dataset at 0.0 kJ per mole of atoms. Its formation energy without anion corrections is -741 meV/atom.

The space group is P2_1/c (No. 14) and the conventional cell measures 6.361, 4.061 and 13.608 Å, with angles of 90.00, 114.33 and 90.00 degrees. The inequivalent atoms are Cd at (0.000, 0.000, 0.000), Pd at (0.500, 0.000, 0.500), Cl at (0.209, 0.167, 0.879) and Cl at (0.299, 0.507, 0.110).

Record 8
Rb2YTl: optimized geometry, GGA-PBE.

The calculation puts the energy above the most stable polymorph in this dataset at 16.0 kJ per mole of atoms. The formation energy from the elements comes out at 228 kJ/mol of formula units.

The space group is Fm-3m (No. 225) and the conventional cell measures 8.997, 8.997 and 8.997 Å, with angles of 90.00, 90.00 and 90.00 degrees. The inequivalent atoms are Rb at (0.250, 0.250, 0.250), Y at (0.000, 0.000, 0.000) and Tl at (0.000, 0.000, 0.500).

Record 9
Na2SrAgH: optimized geometry, GGA-PBE.

The total energy is -0.1624 Ry/atom.

The space group is P4/mmm (No. 123) and the conventional cell measures 4.807, 4.807 and 5.214 Å, with angles of 90.00, 90.00 and 90.00 degrees. The inequivalent atoms are Na at (0.000, 0.500, 0.000), Sr at (0.000, 0.000, 0.500), Ag at (0.500, 0.500, 0.500) and H at (0.000, 0.000, 0.000).

Record 10
CoTe2IBr: optimized geometry, GGA-PBE.

The calculation puts the energy above the most stable polymorph in this dataset at 94.5 kJ per mole of atoms. Its formation energy without anion corrections is 1306 meV/atom.

The space group is P4/mmm (No. 123) and the conventional cell measures 5.587, 5.587 and 5.690 Å, with angles of 90.00, 90.00 and 90.00 degrees. The inequivalent atoms are Co at (0.000, 0.000, 0.000), Te at (0.000, 0.500, 0.500), I at (0.500, 0.500, 0.000) and Br at (0.500, 0.500, 0.500).

Record 11
LiNd2Br: optimized geometry, GGA-PBE.

Its formation energy without anion corrections is -308 meV/atom.

The space group is R-3m (No. 166, hexagonal axes) and the conventional cell measures 3.5551, 3.5551 and 34.6600 Å, with angles of 90.00, 90.00 and 120.00 degrees. The inequivalent atoms are Li at (0.0000, 0.0000, 0.0000), Nd at (0.0000, 0.0000, 0.0965) and Br at (0.0000, 0.0000, 0.5000).

Record 12
ZrMo2: optimized geometry, GGA-PBE.

The calculation puts the energy above the most stable polymorph in this dataset at 38.8 kJ per mole of atoms. The formation energy from the elements comes out at 73 kJ/mol of formula units.

The space group is I4_1/amd (No. 141, origin choice 2) and the conventional cell measures 3.844, 3.844 and 29.264 Å, with angles of 90.00, 90.00 and 90.00 degrees. The inequivalent atoms are Zr at (0.000, 0.250, 0.294), Mo at (0.000, 0.250, 0.125) and Mo at (0.000, 0.250, 0.792).

no.,size of the total moment (Bohr magnetons per cell)
1,0.50
2,0.06
3,0.00
4,16.14
5,0.00
6,0.00
7,0.00
8,0.00
9,0.00
10,2.71
11,0.00
12,0.00